# 1
Material: Dy4As3Se
Method: DFT, PBE
State: optimized geometry

Values from the calculation:
Offset from the most stable computed form (eV/atom): 0.010
ΔE_f (raw) (eV/atom): -1.63

Cell: 5.809 5.809 5.809 Å, 90.00 90.00 90.00°
Sites, in units of the cell vectors:
Dy 0.000 0.000 0.000
Dy 0.000 0.500 0.500
Dy 0.500 0.000 0.500
Dy 0.500 0.500 0.000
As 0.000 0.000 0.500
As 0.000 0.500 0.000
As 0.500 0.000 0.000
Se 0.500 0.500 0.500


# 2
Material: NbOsSeN2
Method: DFT, PBE
State: optimized geometry

Values from the calculation:
Offset from the most stable computed form (eV/atom): 0.000
ΔE_f (raw) (eV/atom): 0.80

Cell: 3.815 3.815 5.420 Å, 90.00 90.00 90.00°
Sites, in units of the cell vectors:
Nb 0.000 0.000 0.000
Os 0.500 0.500 0.500
Se 0.500 0.500 0.000
N 0.000 0.500 0.500
N 0.500 0.000 0.500


# 3
Material: VFe4Co
Method: DFT, PBE
State: optimized geometry

Values from the calculation:
Offset from the most stable computed form (eV/atom): 0.128
ΔE_f (eV/atom): 0.0382

Cell: 4.624 4.624 4.624 Å, 60.00 60.00 60.00°
Sites, in units of the cell vectors:
V 0.000 0.000 0.000
Fe 0.375 0.375 0.375
Fe 0.375 0.375 0.874
Fe 0.375 0.874 0.375
Fe 0.874 0.375 0.375
Co 0.750 0.750 0.750


# 4
Material: BaSrGa2Pt2
Method: DFT, PBE
State: optimized geometry

Values from the calculation:
ΔE_f (eV/atom): -0.7941

Cell: 4.402 4.402 9.293 Å, 90.00 90.00 120.00°
Sites, in units of the cell vectors:
Ba 0.000 0.000 0.000
Sr 0.000 0.000 0.500
Ga 0.333 0.667 0.262
Ga 0.667 0.333 0.738
Pt 0.333 0.667 0.735
Pt 0.667 0.333 0.265


# 5
Material: K2RbAgF5
Method: DFT, PBE
State: optimized geometry

Values from the calculation:
ΔE_f (raw) (eV/atom): -2.21

Cell: 7.497 7.497 7.497 Å, 146.93 129.51 61.69°
Sites, in units of the cell vectors:
K 0.211 0.211 0.000
K 0.789 0.789 0.000
Rb 0.500 0.000 0.500
Ag 0.000 0.500 0.500
F 0.000 0.000 0.000
F 0.112 0.369 0.743
F 0.373 0.631 0.743
F 0.627 0.369 0.257
F 0.888 0.631 0.257


# 6
Material: Th2TlSn
Method: DFT, PBE
State: optimized geometry

Values from the calculation:
ΔE_f (eV/atom): -0.3092

Cell: 4.145 4.145 6.838 Å, 90.00 90.00 90.00°
Sites, in units of the cell vectors:
Th 0.000 0.000 0.244
Th 0.000 0.000 0.756
Tl 0.500 0.500 0.500
Sn 0.500 0.500 0.000


# 7
Material: Li6In2N
Method: DFT, PBE
State: optimized geometry

Values from the calculation:
ΔE_f (raw) (eV/atom): -0.24

Cell: 7.406 7.406 3.733 Å, 90.00 90.00 134.78°
Sites, in units of the cell vectors:
Li 0.096 0.329 0.500
Li 0.193 0.193 0.000
Li 0.329 0.096 0.500
Li 0.671 0.904 0.500
Li 0.807 0.807 0.000
Li 0.904 0.671 0.500
In 0.283 0.717 0.000
In 0.717 0.283 0.000
N 0.000 0.000 0.500


# 8
Material: CaIrW2
Method: DFT, PBE
State: optimized geometry

Values from the calculation:
Offset from the most stable computed form (eV/atom): 0.178
ΔE_f (eV/atom): 0.4710

Cell: 3.100 4.535 4.930 Å, 90.00 90.00 90.00°
Sites, in units of the cell vectors:
Ca 0.000 0.000 0.000
Ir 0.500 0.500 0.000
W 0.000 0.500 0.500
W 0.500 0.000 0.500